# GaBiPd PBE optimized geometry
# Magnetization = 0.00 μB per formula unit
# Energy relative to the lowest polymorph listed for this composition = 76 meV/atom
# DOS at the Fermi energy = 0.49 states/eV/atom
# E_tot = -4.22 eV per atom
data_GaBiPd
_space_group_name_H-M_alt 'P 1'
_space_group_IT_number 1
_cell_length_a 4.3758
_cell_length_b 4.3758
_cell_length_c 3.9226
_cell_angle_alpha 90.00
_cell_angle_beta 90.00
_cell_angle_gamma 120.00
loop_
_space_group_symop_operation_xyz
'x,y,z'
loop_
_atom_site_label
_atom_site_fract_x
_atom_site_fract_y
_atom_site_fract_z
_atom_site_occupancy
Ga1 0.0000 0.0000 0.0000 1
Bi1 0.6667 0.3333 0.5001 1
Pd1 0.3333 0.6667 0.9953 1